1.
DFT (GGA-PBE) results for a relaxed Li2AcDy2Tl2 crystal.

Output
formation energy from the elements	-0.20	eV per atom
crystal system	trigonal

Unit cell a=9.7425 b=9.7425 c=9.7425 alpha=29.37 beta=29.37 gamma=29.37
With the nearest neighbours (Å) after each atom.
Fractional coordinates of all 7 atoms:
Li1 0.0823 0.0823 0.0823  3 Tl 2.85, 3 Dy 3.13
Li2 0.9177 0.9177 0.9177  3 Tl 2.85, 3 Dy 3.13
Ac1 0.5000 0.5000 0.5000  6 Tl 3.63, 2 Dy 3.66, 6 Li 3.70
Dy1 0.3691 0.3691 0.3691  3 Li 3.13, 4 Tl 3.18-3.42, 3 Dy 3.48
Dy2 0.6309 0.6309 0.6309  3 Li 3.13, 4 Tl 3.18-3.42, 3 Dy 3.48
Tl1 0.2468 0.2468 0.2468  3 Li 2.85, 3 Dy 3.18
Tl2 0.7532 0.7532 0.7532  3 Li 2.85, 3 Dy 3.18

=====

2.
DFT (GGA-PBE) results for a relaxed LiAcDy2Tl4 crystal.

Output
formation energy from the elements	-0.30	eV per atom
crystal system	trigonal

Unit cell a=9.9153 b=9.9153 c=9.9153 alpha=31.00 beta=31.00 gamma=31.00
With the nearest neighbours (Å) after each atom.
Fractional coordinates of all 8 atoms:
Li1 0.0000 0.0000 0.0000  8 Tl 3.20-3.24
Ac1 0.5000 0.5000 0.5000  8 Tl 3.41-3.66
Dy1 0.2592 0.2592 0.2592  7 Tl 3.15-3.25
Dy2 0.7408 0.7408 0.7408  7 Tl 3.15-3.25
Tl1 0.1133 0.1133 0.1133  1 Li 3.20, 3 Dy 3.25, 3 Ac 3.41
Tl2 0.3706 0.3706 0.3706  4 Dy 3.15-3.23, 3 Li 3.24
Tl3 0.6294 0.6294 0.6294  4 Dy 3.15-3.23, 3 Li 3.24
Tl4 0.8867 0.8867 0.8867  1 Li 3.20, 3 Dy 3.25, 3 Ac 3.41

=====

3.
DFT (GGA-PBE) results for a relaxed LiAcDyTl crystal.

Output
formation energy from the elements	0.09	eV per atom
crystal system	cubic

Unit cell a=7.8094 b=7.8094 c=7.8094 alpha=90.00 beta=90.00 gamma=90.00
With the nearest neighbours (Å) after each atom.
Fractional coordinates of all 16 atoms:
Li1 0.0000 0.0000 0.0000  4 Tl 3.38, 4 Ac 3.38
Li2 0.0000 0.5000 0.5000  4 Tl 3.38, 4 Ac 3.38
Li3 0.5000 0.0000 0.5000  4 Tl 3.38, 4 Ac 3.38
Li4 0.5000 0.5000 0.0000  4 Tl 3.38, 4 Ac 3.38
Ac1 0.2500 0.2500 0.7500  4 Li 3.38, 4 Dy 3.38
Ac2 0.2500 0.7500 0.2500  4 Li 3.38, 4 Dy 3.38
Ac3 0.7500 0.2500 0.2500  4 Li 3.38, 4 Dy 3.38
Ac4 0.7500 0.7500 0.7500  4 Li 3.38, 4 Dy 3.38
Dy1 0.0000 0.0000 0.5000  4 Ac 3.38, 4 Tl 3.38
Dy2 0.0000 0.5000 0.0000  4 Ac 3.38, 4 Tl 3.38
Dy3 0.5000 0.0000 0.0000  4 Ac 3.38, 4 Tl 3.38
Dy4 0.5000 0.5000 0.5000  4 Ac 3.38, 4 Tl 3.38
Tl1 0.2500 0.2500 0.2500  4 Dy 3.38, 4 Li 3.38
Tl2 0.2500 0.7500 0.7500  4 Dy 3.38, 4 Li 3.38
Tl3 0.7500 0.2500 0.7500  4 Dy 3.38, 4 Li 3.38
Tl4 0.7500 0.7500 0.2500  4 Dy 3.38, 4 Li 3.38

=====

4.
DFT (GGA-PBE) results for a relaxed Li2AcDyTl5 crystal.

Output
formation energy from the elements	-0.23	eV per atom
crystal system	tetragonal

Unit cell a=5.2845 b=5.2845 c=8.6152 alpha=90.00 beta=90.00 gamma=90.00
With the nearest neighbours (Å) after each atom.
Fractional coordinates of all 9 atoms:
Li1 0.0000 0.0000 0.1474  1 Li 2.54, 4 Tl 2.72
Li2 0.0000 0.0000 0.8526  1 Li 2.54, 4 Tl 2.72
Ac1 0.5000 0.5000 0.5000  12 Tl 3.56-3.74
Dy1 0.5000 0.5000 0.0000  8 Tl 3.27
Tl1 0.0000 0.0000 0.5000  2 Li 3.04
Tl2 0.0000 0.5000 0.2227  2 Li 2.72
Tl3 0.0000 0.5000 0.7773  2 Li 2.72
Tl4 0.5000 0.0000 0.2227  2 Li 2.72
Tl5 0.5000 0.0000 0.7773  2 Li 2.72

=====

5.
DFT (GGA-PBE) results for a relaxed Li2Ac3Dy2Tl4 crystal.

Output
formation energy from the elements	-0.19	eV per atom
crystal system	trigonal

Unit cell a=5.1582 b=5.1582 c=15.4809 alpha=90.00 beta=90.00 gamma=120.00
With the nearest neighbours (Å) after each atom.
Fractional coordinates of all 11 atoms:
Li1 0.3333 0.6667 0.1307  3 Tl 2.98
Li2 0.6667 0.3333 0.8693  3 Tl 2.98
Ac1 0.0000 0.0000 0.0000  6 Tl 3.56, 6 Li 3.60, 2 Ac 3.91
Ac2 0.0000 0.0000 0.2528  6 Tl 3.46-3.56, 3 Li 3.53
Ac3 0.0000 0.0000 0.7472  6 Tl 3.46-3.56, 3 Li 3.53
Dy1 0.3333 0.6667 0.5716  4 Tl 3.13-3.17
Dy2 0.6667 0.3333 0.4284  4 Tl 3.13-3.17
Tl1 0.3333 0.6667 0.3671  4 Dy 3.13-3.17, 3 Ac 3.46
Tl2 0.3333 0.6667 0.8737  3 Li 2.98
Tl3 0.6667 0.3333 0.1263  3 Li 2.98
Tl4 0.6667 0.3333 0.6329  4 Dy 3.13-3.17, 3 Ac 3.46

=====

6.
DFT (GGA-PBE) results for a relaxed Li2Ac2DyTl5 crystal.

Output
formation energy from the elements	-0.32	eV per atom
crystal system	tetragonal

Unit cell a=11.1037 b=11.1037 c=4.4551 alpha=90.00 beta=90.00 gamma=90.00
With the nearest neighbours (Å) after each atom.
Fractional coordinates of all 20 atoms:
Li1 0.1158 0.3842 0.0000  6 Tl 2.88-3.00
Li2 0.3842 0.8842 0.0000  6 Tl 2.88-3.00
Li3 0.6158 0.1158 0.0000  6 Tl 2.88-3.00
Li4 0.8842 0.6158 0.0000  6 Tl 2.88-3.00
Ac1 0.1786 0.6786 0.0000  3 Li 3.23-3.34, 2 Tl 3.58
Ac2 0.3214 0.1786 0.0000  3 Li 3.23-3.34, 2 Tl 3.58
Ac3 0.6786 0.8214 0.0000  3 Li 3.23-3.34, 2 Tl 3.58
Ac4 0.8214 0.3214 0.0000  3 Li 3.23-3.34, 2 Tl 3.58
Dy1 0.0000 0.0000 0.0000  8 Tl 3.31
Dy2 0.5000 0.5000 0.0000  8 Tl 3.31
Tl1 0.0000 0.5000 0.5000  4 Li 2.88
Tl2 0.0665 0.2096 0.5000  2 Li 3.00, 2 Dy 3.31, 1 Tl 3.31
Tl3 0.2096 0.9335 0.5000  2 Li 3.00, 2 Dy 3.31, 1 Tl 3.31
Tl4 0.2904 0.4335 0.5000  2 Li 3.00, 2 Dy 3.31, 1 Tl 3.31
Tl5 0.4335 0.7096 0.5000  2 Li 3.00, 2 Dy 3.31, 1 Tl 3.31
Tl6 0.5000 0.0000 0.5000  4 Li 2.88
Tl7 0.5665 0.2904 0.5000  2 Li 3.00, 2 Dy 3.31, 1 Tl 3.31
Tl8 0.7096 0.5665 0.5000  2 Li 3.00, 2 Dy 3.31, 1 Tl 3.31
Tl9 0.7904 0.0665 0.5000  2 Li 3.00, 2 Dy 3.31, 1 Tl 3.31
Tl10 0.9335 0.7904 0.5000  2 Li 3.00, 2 Dy 3.31, 1 Tl 3.31

=====

7.
DFT (GGA-PBE) results for a relaxed Li2AcDyTl4 crystal.

Output
formation energy from the elements	-0.32	eV per atom
crystal system	trigonal

Unit cell a=10.4885 b=10.4885 c=10.4885 alpha=27.48 beta=27.48 gamma=27.48
With the nearest neighbours (Å) after each atom.
Fractional coordinates of all 8 atoms:
Li1 0.2363 0.2363 0.2363  6 Tl 2.96-3.07
Li2 0.7637 0.7637 0.7637  6 Tl 2.96-3.07
Ac1 0.0000 0.0000 0.0000  8 Tl 3.42-3.64
Dy1 0.5000 0.5000 0.5000  8 Tl 3.19-3.20, 6 Li 3.57
Tl1 0.1202 0.1202 0.1202  3 Li 2.96, 3 Dy 3.20
Tl2 0.3946 0.3946 0.3946  3 Li 3.07, 1 Dy 3.19, 3 Tl 3.38, 3 Ac 3.42
Tl3 0.6054 0.6054 0.6054  3 Li 3.07, 1 Dy 3.19, 3 Tl 3.38, 3 Ac 3.42
Tl4 0.8798 0.8798 0.8798  3 Li 2.96, 3 Dy 3.20

=====

8.
DFT (GGA-PBE) results for a relaxed LiAcDyZn crystal.

Output
formation energy from the elements	-0.06	eV per atom
crystal system	cubic

Unit cell a=7.5976 b=7.5976 c=7.5976 alpha=90.00 beta=90.00 gamma=90.00
With the nearest neighbours (Å) after each atom.
Fractional coordinates of all 16 atoms:
Li1 0.0000 0.0000 0.0000  4 Ac 3.29, 4 Dy 3.29
Li2 0.0000 0.5000 0.5000  4 Ac 3.29, 4 Dy 3.29
Li3 0.5000 0.0000 0.5000  4 Ac 3.29, 4 Dy 3.29
Li4 0.5000 0.5000 0.0000  4 Ac 3.29, 4 Dy 3.29
Ac1 0.2500 0.2500 0.7500  4 Li 3.29, 4 Zn 3.29
Ac2 0.2500 0.7500 0.2500  4 Li 3.29, 4 Zn 3.29
Ac3 0.7500 0.2500 0.2500  4 Li 3.29, 4 Zn 3.29
Ac4 0.7500 0.7500 0.7500  4 Li 3.29, 4 Zn 3.29
Dy1 0.2500 0.2500 0.2500  4 Zn 3.29, 4 Li 3.29
Dy2 0.2500 0.7500 0.7500  4 Zn 3.29, 4 Li 3.29
Dy3 0.7500 0.2500 0.7500  4 Zn 3.29, 4 Li 3.29
Dy4 0.7500 0.7500 0.2500  4 Zn 3.29, 4 Li 3.29
Zn1 0.0000 0.0000 0.5000  4 Ac 3.29, 4 Dy 3.29
Zn2 0.0000 0.5000 0.0000  4 Ac 3.29, 4 Dy 3.29
Zn3 0.5000 0.0000 0.0000  4 Ac 3.29, 4 Dy 3.29
Zn4 0.5000 0.5000 0.5000  4 Ac 3.29, 4 Dy 3.29

=====

9.
DFT (GGA-PBE) results for a relaxed AcDyLu4 crystal.

Output
formation energy from the elements	0.28	eV per atom
crystal system	cubic

Unit cell a=6.6083 b=6.6083 c=6.6083 alpha=60.00 beta=60.00 gamma=60.00
With the nearest neighbours (Å) after each atom.
Fractional coordinates of all 6 atoms:
Ac1 0.0000 0.0000 0.0000  12 Lu 3.88, 4 Dy 4.05
Dy1 0.7500 0.7500 0.7500  12 Lu 3.87, 4 Ac 4.05
Lu1 0.3762 0.3762 0.3762  6 Lu 3.27-3.34
Lu2 0.3762 0.3762 0.8714  6 Lu 3.27-3.34
Lu3 0.3762 0.8714 0.3762  6 Lu 3.27-3.34
Lu4 0.8714 0.3762 0.3762  6 Lu 3.27-3.34

=====

10.
DFT (GGA-PBE) results for a relaxed Ac2DyLu crystal.

Output
E above lowest polymorph	0.001	eV per atom
formation energy from the elements	0.06	eV per atom
crystal system	tetragonal

Unit cell a=5.4782 b=5.4782 c=4.9251 alpha=90.00 beta=90.00 gamma=90.00
With the nearest neighbours (Å) after each atom.
Fractional coordinates of all 4 atoms:
Ac1 0.0000 0.5000 0.0000  4 Dy 3.68, 4 Lu 3.68, 4 Ac 3.87
Ac2 0.5000 0.0000 0.0000  4 Dy 3.68, 4 Lu 3.68, 4 Ac 3.87
Dy1 0.0000 0.0000 0.5000  8 Ac 3.68, 4 Lu 3.87
Lu1 0.5000 0.5000 0.5000  8 Ac 3.68, 4 Dy 3.87

=====

Number 1: DFT total energy -0.122 hartree per atom. Number 2: DFT total energy -0.124 hartree per atom. Number 3: DFT total energy -0.116 hartree per atom. Number 4: DFT total energy -0.108 hartree per atom. Number 5: DFT total energy -0.123 hartree per atom. Number 6: DFT total energy -0.116 hartree per atom. Number 7: DFT total energy -0.113 hartree per atom. Number 8: DFT total energy -0.111 hartree per atom. Number 9: DFT total energy -0.154 hartree per atom. Number 10: DFT total energy -0.157 hartree per atom.